*one*
Here is a geometry-optimized BeCdS2 structure from Alexandria. Energies are from PBE.

The space group is R3m (No. 160, hexagonal axes) and the conventional cell measures 3.7803, 3.7803 and 19.2329 Å, with angles of 90.00, 90.00 and 120.00 degrees. The asymmetric unit holds Be at (0.0000, 0.0000, 0.0000), Cd at (0.0000, 0.0000, 0.5033), S at (0.0000, 0.0000, 0.1072) and S at (0.0000, 0.0000, 0.6342).

---

*two*
Here is a geometry-optimized BeCdS2 structure from Alexandria. Energies are from PBE.

The space group is Pnma (No. 62) and the conventional cell measures 9.309, 3.773 and 10.282 Å, with angles of 90.00, 90.00 and 90.00 degrees. The asymmetric unit holds Be at (0.109, 0.250, 0.041), Cd at (0.056, 0.250, 0.646), S at (0.030, 0.750, 0.125) and S at (0.171, 0.750, 0.521).

---

*two* comes first in stability; the runner-up is 0.012 eV/atom higher.

---

*one*
Here is a geometry-optimized BeCdS2 structure from Alexandria. Energies are from PBE.

The space group is I4/mcm (No. 140) and the conventional cell measures 6.601, 6.601 and 6.441 Å, with angles of 90.00, 90.00 and 90.00 degrees. The asymmetric unit holds Be at (0.000, 0.000, 0.250), Cd at (0.000, 0.500, 0.250) and S at (0.212, 0.288, 0.000).

---

*two*
Here is a geometry-optimized BeCdS2 structure from Alexandria. Energies are from PBE.

The space group is I4/mcm (No. 140) and the conventional cell measures 6.842, 6.842 and 5.790 Å, with angles of 90.00, 90.00 and 90.00 degrees. The asymmetric unit holds Be at (0.000, 0.500, 0.250), Cd at (0.000, 0.000, 0.250) and S at (0.163, 0.337, 0.000).

---

*two* comes first in stability; the runner-up is 0.722 eV/atom higher.

---

*one*
Here is a geometry-optimized BeCd3S4 structure from Alexandria. Energies are from PBE.

The space group is P-43m (No. 215) and the conventional cell measures 5.651, 5.651 and 5.651 Å, with angles of 90.00, 90.00 and 90.00 degrees. The asymmetric unit holds Be at (0.000, 0.000, 0.000), Cd at (0.000, 0.500, 0.500) and S at (0.220, 0.220, 0.220).

---

*two*
Here is a geometry-optimized BeCd3S4 structure from Alexandria. Energies are from PBE.

The space group is I-42m (No. 121) and the conventional cell measures 5.666, 5.666 and 11.195 Å, with angles of 90.00, 90.00 and 90.00 degrees. The asymmetric unit holds Be at (0.000, 0.000, 0.000), Cd at (0.000, 0.000, 0.500), Cd at (0.000, 0.500, 0.250) and S at (0.217, 0.217, 0.889).

---

*two* comes first in stability; the runner-up is 0.019 eV/atom higher.

---

*one*
Here is a geometry-optimized BeCd2Sb structure from Alexandria. Energies are from PBE.

The space group is I-42d (No. 122) and the conventional cell measures 4.566, 4.566 and 17.607 Å, with angles of 90.00, 90.00 and 90.00 degrees. The asymmetric unit holds Be at (0.000, 0.000, 0.000), Cd at (0.183, 0.250, 0.125) and Sb at (0.000, 0.000, 0.500).

---

*two*
Here is a geometry-optimized BeCd2Sb structure from Alexandria. Energies are from PBE.

The space group is C2/m (No. 12) and the conventional cell measures 13.831, 3.424 and 3.817 Å, with angles of 90.00, 105.85 and 90.00 degrees. The asymmetric unit holds Be at (0.000, 0.000, 0.000), Cd at (0.187, 0.500, 0.186) and Sb at (0.000, 0.500, 0.500).

---

*three*
Here is a geometry-optimized BeCd2Sb structure from Alexandria. Energies are from PBE.

The space group is Cm (No. 8) and the conventional cell measures 7.096, 4.028 and 6.776 Å, with angles of 90.00, 107.25 and 90.00 degrees. The asymmetric unit holds Be at (0.000, 0.000, 0.000), Cd at (0.231, 0.000, 0.726), Cd at (0.467, 0.000, 0.434) and Sb at (0.195, 0.500, 0.090).

---

*three* comes first in stability; the runner-up is 0.076 eV/atom higher.

---

*one*
Here is a geometry-optimized BeCd2Sb structure from Alexandria. Energies are from PBE.

The space group is R-3m (No. 166, hexagonal axes) and the conventional cell measures 3.3587, 3.3587 and 25.8799 Å, with angles of 90.00, 90.00 and 120.00 degrees. The asymmetric unit holds Be at (0.0000, 0.0000, 0.0000), Cd at (0.0000, 0.0000, 0.2650) and Sb at (0.0000, 0.0000, 0.5000).

---

*two*
Here is a geometry-optimized BeCd2Sb structure from Alexandria. Energies are from PBE.

The space group is Fm-3m (No. 225) and the conventional cell measures 7.074, 7.074 and 7.074 Å, with angles of 90.00, 90.00 and 90.00 degrees. The asymmetric unit holds Be at (0.000, 0.000, 0.000), Cd at (0.250, 0.250, 0.250) and Sb at (0.000, 0.000, 0.500).

---

*one* comes first in stability; the runner-up is 0.210 eV/atom higher.

---

*one*
Here is a geometry-optimized BeCd2Sb structure from Alexandria. Energies are from PBE.

The space group is Cmm2 (No. 35) and the conventional cell measures 3.874, 4.911 and 9.080 Å, with angles of 90.00, 90.00 and 90.00 degrees. The asymmetric unit holds Be at (0.000, 0.000, 0.000), Cd at (0.000, 0.000, 0.475), Cd at (0.000, 0.500, 0.195) and Sb at (0.000, 0.500, 0.809).

---

*two*
Here is a geometry-optimized BeCd2Sb structure from Alexandria. Energies are from PBE.

The space group is C2/m (No. 12) and the conventional cell measures 5.703, 10.650 and 4.020 Å, with angles of 90.00, 134.32 and 90.00 degrees. The asymmetric unit holds Be at (0.000, 0.000, 0.000), Cd at (0.250, 0.250, 0.500) and Sb at (0.000, 0.500, 0.000).

---

*one* comes first in stability; the runner-up is 0.069 eV/atom higher.

---

*one*
Here is a geometry-optimized BeCdSb2 structure from Alexandria. Energies are from PBE.

The space group is I4/mmm (No. 139) and the conventional cell measures 4.747, 4.747 and 8.009 Å, with angles of 90.00, 90.00 and 90.00 degrees. The asymmetric unit holds Be at (0.000, 0.000, 0.000), Cd at (0.000, 0.000, 0.500) and Sb at (0.000, 0.500, 0.250).

---

*two*
Here is a geometry-optimized BeCdSb2 structure from Alexandria. Energies are from PBE.

The space group is Imm2 (No. 44) and the conventional cell measures 3.685, 3.870 and 13.244 Å, with angles of 90.00, 90.00 and 90.00 degrees. The asymmetric unit holds Be at (0.000, 0.000, 0.000), Cd at (0.000, 0.500, 0.729), Sb at (0.000, 0.000, 0.550) and Sb at (0.000, 0.500, 0.363).

---

*three*
Here is a geometry-optimized BeCdSb2 structure from Alexandria. Energies are from PBE.

The space group is P4/mmm (No. 123) and the conventional cell measures 3.303, 3.303 and 8.549 Å, with angles of 90.00, 90.00 and 90.00 degrees. The asymmetric unit holds Be at (0.000, 0.000, 0.000), Cd at (0.000, 0.000, 0.500) and Sb at (0.500, 0.500, 0.180).

---

*two* comes first in stability; the runner-up is 0.038 eV/atom higher.

---

*one*
Here is a geometry-optimized BeCdSb2 structure from Alexandria. Energies are from PBE.

The space group is Pmm2 (No. 25) and the conventional cell measures 3.313, 3.935 and 7.495 Å, with angles of 90.00, 90.00 and 90.00 degrees. The asymmetric unit holds Be at (0.000, 0.000, 0.000), Cd at (0.500, 0.500, 0.195), Sb at (0.000, 0.000, 0.392) and Sb at (0.500, 0.500, 0.823).

---

*two*
Here is a geometry-optimized BeCdSb2 structure from Alexandria. Energies are from PBE.

The space group is Cm (No. 8) and the conventional cell measures 9.656, 3.790 and 5.791 Å, with angles of 90.00, 114.82 and 90.00 degrees. The asymmetric unit holds Be at (0.000, 0.000, 0.000), Cd at (0.232, 0.500, 0.995), Sb at (0.053, 0.500, 0.321) and Sb at (0.382, 0.000, 0.679).

---

*three*
Here is a geometry-optimized BeCdSb2 structure from Alexandria. Energies are from PBE.

The space group is Cmmm (No. 65) and the conventional cell measures 5.483, 9.035 and 3.884 Å, with angles of 90.00, 90.00 and 90.00 degrees. The asymmetric unit holds Be at (0.000, 0.000, 0.000), Cd at (0.000, 0.500, 0.000) and Sb at (0.000, 0.178, 0.500).

---

*three* comes first in stability; the runner-up is 0.068 eV/atom higher.

---

*one*
Here is a geometry-optimized BeCdSb2 structure from Alexandria. Energies are from PBE.

The space group is C2/m (No. 12) and the conventional cell measures 6.796, 3.706 and 7.428 Å, with angles of 90.00, 104.74 and 90.00 degrees. The asymmetric unit holds Be at (0.000, 0.000, 0.000), Cd at (0.000, 0.500, 0.500) and Sb at (0.224, 0.500, 0.192).

---

*two*
Here is a geometry-optimized BeCdSb2 structure from Alexandria. Energies are from PBE.

The space group is P4/mmm (No. 123) and the conventional cell measures 4.745, 4.745 and 4.009 Å, with angles of 90.00, 90.00 and 90.00 degrees. The asymmetric unit holds Be at (0.000, 0.000, 0.000), Cd at (0.500, 0.500, 0.000) and Sb at (0.000, 0.500, 0.500).

---

*one* comes first in stability; the runner-up is 0.332 eV/atom higher.

---

*one*
Here is a geometry-optimized BeCdSb2 structure from Alexandria. Energies are from PBE.

The space group is F-43m (No. 216) and the conventional cell measures 7.145, 7.145 and 7.145 Å, with angles of 90.00, 90.00 and 90.00 degrees. The asymmetric unit holds Be at (0.000, 0.000, 0.000), Cd at (0.250, 0.250, 0.250), Sb at (0.000, 0.000, 0.500) and Sb at (0.250, 0.250, 0.750).

---

*two*
Here is a geometry-optimized BeCdSb2 structure from Alexandria. Energies are from PBE.

The space group is I-42d (No. 122) and the conventional cell measures 6.253, 6.253 and 11.315 Å, with angles of 90.00, 90.00 and 90.00 degrees. The asymmetric unit holds Be at (0.000, 0.000, 0.000), Cd at (0.000, 0.000, 0.500) and Sb at (0.189, 0.250, 0.125).

---

*two* comes first in stability; the runner-up is 0.400 eV/atom higher.

---

*one*
Here is a geometry-optimized BeCdSb2 structure from Alexandria. Energies are from PBE.

The space group is Cmmm (No. 65) and the conventional cell measures 6.189, 7.687 and 3.799 Å, with angles of 90.00, 90.00 and 90.00 degrees. The asymmetric unit holds Be at (0.000, 0.000, 0.000), Cd at (0.000, 0.500, 0.000) and Sb at (0.250, 0.250, 0.500).

---

*two*
Here is a geometry-optimized BeCdSb2 structure from Alexandria. Energies are from PBE.

The space group is Fm-3m (No. 225) and the conventional cell measures 7.107, 7.107 and 7.107 Å, with angles of 90.00, 90.00 and 90.00 degrees. The asymmetric unit holds Be at (0.000, 0.000, 0.000), Cd at (0.000, 0.000, 0.500) and Sb at (0.250, 0.250, 0.250).

---

*three*
Here is a geometry-optimized BeCdSb2 structure from Alexandria. Energies are from PBE.

The space group is Pm (No. 6) and the conventional cell measures 4.247, 3.921 and 5.973 Å, with angles of 90.00, 109.70 and 90.00 degrees. The asymmetric unit holds Be at (0.000, 0.000, 0.000), Cd at (0.432, 0.500, 0.861), Sb at (0.132, 0.500, 0.265) and Sb at (0.777, 0.000, 0.571).

---

*four*
Here is a geometry-optimized BeCdSb2 structure from Alexandria. Energies are from PBE.

The space group is I-4m2 (No. 119) and the conventional cell measures 4.115, 4.115 and 10.809 Å, with angles of 90.00, 90.00 and 90.00 degrees. The asymmetric unit holds Be at (0.000, 0.000, 0.000), Cd at (0.000, 0.500, 0.750), Sb at (0.000, 0.000, 0.500) and Sb at (0.000, 0.500, 0.250).

---

*three* comes first in stability; the runner-up is 0.209 eV/atom higher.

---

*one*
Here is a geometry-optimized BeCdSb2 structure from Alexandria. Energies are from PBE.

The space group is C2/m (No. 12) and the conventional cell measures 6.086, 7.851 and 4.475 Å, with angles of 90.00, 116.34 and 90.00 degrees. The asymmetric unit holds Be at (0.000, 0.000, 0.000), Cd at (0.000, 0.500, 0.000) and Sb at (0.250, 0.250, 0.500).

---

*two*
Here is a geometry-optimized BeCdSb2 structure from Alexandria. Energies are from PBE.

The space group is Cmmm (No. 65) and the conventional cell measures 3.987, 5.427 and 8.604 Å, with angles of 90.00, 90.00 and 90.00 degrees. The asymmetric unit holds Be at (0.000, 0.000, 0.000), Cd at (0.000, 0.000, 0.500) and Sb at (0.000, 0.500, 0.187).

---

*two* comes first in stability; the runner-up is 0.133 eV/atom higher.